Record 1
# CsYErTe3

A relaxed CsYErTe3 crystal (GGA-PBE, OQMD via LeMat-Bulk).

Summary:
- Distance to the lowest polymorph of the same formula: 0.0000 eV per atom
- Crystal system: orthorhombic

Cell lengths 9.082, 9.082, 11.885 Å; angles 90.00, 90.00, 150.00 degrees
Atoms (fractional coordinates):
Cs1 0.242 0.758 0.750
Cs2 0.758 0.242 0.250
Y1 0.500 0.500 0.000
Y2 0.500 0.500 0.500
Er1 0.036 0.964 0.250
Er2 0.964 0.036 0.750
Te1 0.121 0.879 0.042
Te2 0.121 0.879 0.458
Te3 0.437 0.563 0.250
Te4 0.563 0.437 0.750
Te5 0.879 0.121 0.542
Te6 0.879 0.121 0.958

Record 2
# CsCuSn

A relaxed CsCuSn crystal (GGA-PBE, OQMD via LeMat-Bulk).

Summary:
- Distance to the lowest polymorph of the same formula: 0.0000 eV per atom
- Crystal system: cubic

Cell lengths 5.286, 5.286, 5.286 Å; angles 60.00, 60.00, 60.00 degrees
Atoms (fractional coordinates):
Cs1 0.000 0.000 0.000
Cu1 0.250 0.250 0.250
Sn1 0.500 0.500 0.500

Record 3
# NdTm2Cd4In2

A relaxed NdTm2Cd4In2 crystal (GGA-PBE, OQMD via LeMat-Bulk).

Summary:
- DFT total energy: -2.91 eV/atom
- Crystal system: orthorhombic

Cell lengths 4.639, 7.520, 7.520 Å; angles 120.90, 90.00, 90.00 degrees
Atoms (fractional coordinates):
Nd1 0.000 0.000 0.000
Tm1 0.000 0.424 0.853
Tm2 0.000 0.853 0.424
Cd1 0.000 0.438 0.438
Cd2 0.500 0.186 0.427
Cd3 0.500 0.427 0.186
Cd4 0.500 0.672 0.672
In1 0.500 0.095 0.755
In2 0.500 0.755 0.095

Record 4
# Mg2GaMo

A relaxed Mg2GaMo crystal (GGA-PBE, OQMD via LeMat-Bulk).

Summary:
- DFT total energy: -3.97 eV/atom
- Crystal system: cubic

Cell lengths 4.600, 4.600, 4.600 Å; angles 60.00, 60.00, 60.00 degrees
Atoms (fractional coordinates):
Mg1 0.000 0.000 0.000
Mg2 0.250 0.250 0.250
Ga1 0.500 0.500 0.500
Mo1 0.750 0.750 0.750

Record 5
# NaSrHoS3

A relaxed NaSrHoS3 crystal (GGA-PBE, OQMD via LeMat-Bulk).

Summary:
- Distance to the lowest polymorph of the same formula: 0.1279 eV per atom
- Crystal system: orthorhombic

Cell lengths 13.851, 4.089, 11.545 Å; angles 90.00, 90.00, 90.00 degrees
Atoms (fractional coordinates):
Na1 0.017 0.250 0.085
Na2 0.483 0.750 0.585
Na3 0.517 0.250 0.415
Na4 0.983 0.750 0.915
Sr1 0.250 0.250 0.446
Sr2 0.250 0.750 0.946
Sr3 0.750 0.250 0.054
Sr4 0.750 0.750 0.554
Ho1 0.004 0.250 0.655
Ho2 0.496 0.750 0.155
Ho3 0.504 0.250 0.845
Ho4 0.996 0.750 0.345
S1 0.107 0.250 0.870
S2 0.109 0.250 0.274
S3 0.111 0.750 0.547
S4 0.389 0.250 0.047
S5 0.391 0.750 0.774
S6 0.393 0.750 0.370
S7 0.607 0.250 0.630
S8 0.609 0.250 0.226
S9 0.611 0.750 0.953
S10 0.889 0.250 0.453
S11 0.891 0.750 0.726
S12 0.893 0.750 0.130

Record 6
# ErTcPO

A relaxed ErTcPO crystal (GGA-PBE, OQMD via LeMat-Bulk).

Summary:
- Distance to the lowest polymorph of the same formula: 0.0000 eV per atom
- Crystal system: tetragonal

Cell lengths 3.899, 3.899, 8.201 Å; angles 90.00, 90.00, 90.00 degrees
Atoms (fractional coordinates):
Er1 0.250 0.250 0.131
Er2 0.750 0.750 0.869
Tc1 0.250 0.750 0.500
Tc2 0.750 0.250 0.500
P1 0.250 0.250 0.669
P2 0.750 0.750 0.331
O1 0.250 0.750 0.000
O2 0.750 0.250 0.000

Record 7
# HfInNO

A relaxed HfInNO crystal (GGA-PBE, OQMD via LeMat-Bulk).

Summary:
- Distance to the lowest polymorph of the same formula: 0.0000 eV per atom
- Crystal system: orthorhombic

Cell lengths 5.536, 7.781, 5.542 Å; angles 90.00, 90.00, 90.00 degrees
Atoms (fractional coordinates):
Hf1 0.013 0.109 0.000
Hf2 0.487 0.109 0.500
Hf3 0.513 0.891 0.000
Hf4 0.987 0.891 0.500
In1 0.004 0.355 0.484
In2 0.496 0.355 0.984
In3 0.504 0.645 0.484
In4 0.996 0.645 0.984
N1 0.248 0.980 0.250
N2 0.252 0.980 0.750
N3 0.748 0.020 0.250
N4 0.752 0.020 0.750
O1 0.097 0.636 0.543
O2 0.403 0.636 0.043
O3 0.597 0.364 0.543
O4 0.903 0.364 0.043

Record 8
# Bi2Os

A relaxed Bi2Os crystal (GGA-PBE, OQMD via LeMat-Bulk).

Summary:
- DFT total energy: -5.93 eV/atom
- Crystal system: cubic

Cell lengths 4.719, 4.719, 4.719 Å; angles 60.00, 60.00, 60.00 degrees
Atoms (fractional coordinates):
Bi1 0.250 0.250 0.250
Bi2 0.750 0.750 0.750
Os1 0.000 0.000 0.000

Record 9
# ZrReAg

A relaxed ZrReAg crystal (GGA-PBE, OQMD via LeMat-Bulk).

Summary:
- Distance to the lowest polymorph of the same formula: 0.0000 eV per atom
- Crystal system: trigonal
- ΔE_f: 0.3796 eV/atom

Cell lengths 7.630, 7.630, 7.630 Å; angles 33.69, 33.69, 33.69 degrees
Atoms (fractional coordinates):
Zr1 0.217 0.217 0.217
Zr2 0.783 0.783 0.783
Re1 0.342 0.342 0.342
Re2 0.658 0.658 0.658
Ag1 0.069 0.069 0.069
Ag2 0.931 0.931 0.931

Record 10
# SbOsPd

A relaxed SbOsPd crystal (GGA-PBE, OQMD via LeMat-Bulk).

Summary:
- DFT total energy: -6.54 eV/atom
- Crystal system: cubic

Cell lengths 4.319, 4.319, 4.319 Å; angles 60.00, 60.00, 60.00 degrees
Atoms (fractional coordinates):
Sb1 0.000 0.000 0.000
Os1 0.750 0.750 0.750
Pd1 0.250 0.250 0.250

Record 11
# DyHoAl4Co2

A relaxed DyHoAl4Co2 crystal (GGA-PBE, OQMD via LeMat-Bulk).

Summary:
- DFT total energy: -5.34 eV/atom
- Crystal system: orthorhombic

Cell lengths 7.029, 5.363, 5.363 Å; angles 44.06, 90.00, 90.00 degrees
Atoms (fractional coordinates):
Dy1 0.000 0.000 0.000
Ho1 0.500 0.882 0.882
Al1 0.195 0.281 0.281
Al2 0.306 0.602 0.602
Al3 0.694 0.602 0.602
Al4 0.805 0.281 0.281
Co1 0.000 0.725 0.725
Co2 0.500 0.157 0.157

Record 12
# Cu2Ag3

A relaxed Cu2Ag3 crystal (GGA-PBE, OQMD via LeMat-Bulk).

Summary:
- Distance to the lowest polymorph of the same formula: 0.0667 eV per atom
- Crystal system: triclinic
- ΔE_f: 0.0989 eV/atom

Cell lengths 4.842, 4.873, 7.397 Å; angles 102.56, 108.65, 99.92 degrees
Atoms (fractional coordinates):
Cu1 0.000 0.000 0.000
Cu2 0.008 0.506 0.496
Cu3 0.418 0.717 0.904
Cu4 0.810 0.905 0.292
Ag1 0.201 0.103 0.697
Ag2 0.212 0.614 0.196
Ag3 0.401 0.206 0.394
Ag4 0.607 0.804 0.601
Ag5 0.613 0.298 0.100
Ag6 0.822 0.421 0.801

Record 13
# LiLaZnTe3

A relaxed LiLaZnTe3 crystal (GGA-PBE, OQMD via LeMat-Bulk).

Summary:
- Distance to the lowest polymorph of the same formula: 0.0021 eV per atom
- Crystal system: orthorhombic

Cell lengths 7.477, 7.477, 11.998 Å; angles 90.00, 90.00, 146.24 degrees
Atoms (fractional coordinates):
Li1 0.202 0.798 0.750
Li2 0.798 0.202 0.250
La1 0.000 0.000 0.000
La2 0.000 0.000 0.500
Zn1 0.476 0.524 0.250
Zn2 0.524 0.476 0.750
Te1 0.091 0.909 0.250
Te2 0.352 0.648 0.083
Te3 0.352 0.648 0.417
Te4 0.648 0.352 0.583
Te5 0.648 0.352 0.917
Te6 0.909 0.091 0.750

Record 14
# TbTlPO

A relaxed TbTlPO crystal (GGA-PBE, OQMD via LeMat-Bulk).

Summary:
- Distance to the lowest polymorph of the same formula: 0.0000 eV per atom
- Crystal system: tetragonal

Cell lengths 4.168, 4.168, 9.427 Å; angles 90.00, 90.00, 90.00 degrees
Atoms (fractional coordinates):
Tb1 0.250 0.250 0.106
Tb2 0.750 0.750 0.894
Tl1 0.250 0.750 0.500
Tl2 0.750 0.250 0.500
P1 0.250 0.250 0.722
P2 0.750 0.750 0.278
O1 0.250 0.750 0.000
O2 0.750 0.250 0.000

Record 15
# PaGePO

A relaxed PaGePO crystal (GGA-PBE, OQMD via LeMat-Bulk).

Summary:
- Distance to the lowest polymorph of the same formula: 0.0000 eV per atom
- Crystal system: tetragonal

Cell lengths 3.861, 3.861, 9.841 Å; angles 90.00, 90.00, 90.00 degrees
Atoms (fractional coordinates):
Pa1 0.250 0.250 0.142
Pa2 0.750 0.750 0.858
Ge1 0.250 0.750 0.500
Ge2 0.750 0.250 0.500
P1 0.250 0.250 0.729
P2 0.750 0.750 0.271
O1 0.250 0.750 0.000
O2 0.750 0.250 0.000

Record 16
# Ba2FeIrS6

A relaxed Ba2FeIrS6 crystal (GGA-PBE, OQMD via LeMat-Bulk).

Summary:
- DFT total energy: -5.36 eV/atom
- Crystal system: cubic

Cell lengths 6.751, 6.751, 6.751 Å; angles 60.00, 60.00, 60.00 degrees
Atoms (fractional coordinates):
Ba1 0.250 0.250 0.250
Ba2 0.750 0.750 0.750
Fe1 0.000 0.000 0.000
Ir1 0.500 0.500 0.500
S1 0.250 0.250 0.750
S2 0.250 0.750 0.250
S3 0.250 0.750 0.750
S4 0.750 0.250 0.250
S5 0.750 0.250 0.750
S6 0.750 0.750 0.250

Record 17
# TaZnCoSb

A relaxed TaZnCoSb crystal (GGA-PBE, OQMD via LeMat-Bulk).

Summary:
- Distance to the lowest polymorph of the same formula: 0.0000 eV per atom
- Crystal system: cubic

Cell lengths 4.526, 4.526, 4.526 Å; angles 60.00, 60.00, 60.00 degrees
Atoms (fractional coordinates):
Ta1 0.000 0.000 0.000
Zn1 0.750 0.750 0.750
Co1 0.500 0.500 0.500
Sb1 0.250 0.250 0.250

Record 18
# PrCuNiGe2

A relaxed PrCuNiGe2 crystal (GGA-PBE, OQMD via LeMat-Bulk).

Summary:
- DFT total energy: -5.27 eV/atom
- Crystal system: tetragonal

Cell lengths 5.840, 5.840, 5.840 Å; angles 138.02, 138.02, 60.87 degrees
Atoms (fractional coordinates):
Pr1 0.000 0.000 0.000
Cu1 0.750 0.250 0.500
Ni1 0.250 0.750 0.500
Ge1 0.372 0.372 0.000
Ge2 0.628 0.628 0.000

Record 19
# Cs2NbSeS2

A relaxed Cs2NbSeS2 crystal (GGA-PBE, OQMD via LeMat-Bulk).

Summary:
- DFT total energy: -5.13 eV/atom
- Crystal system: triclinic

Cell lengths 7.502, 8.053, 9.049 Å; angles 74.74, 68.14, 66.53 degrees
Atoms (fractional coordinates):
Cs1 0.087 0.181 0.153
Cs2 0.343 0.569 0.298
Cs3 0.657 0.431 0.702
Cs4 0.913 0.819 0.847
Nb1 0.383 0.049 0.664
Nb2 0.617 0.951 0.336
Se1 0.174 0.360 0.721
Se2 0.826 0.640 0.279
S1 0.279 0.956 0.489
S2 0.389 0.838 0.889
S3 0.611 0.162 0.111
S4 0.721 0.044 0.511

Record 20
# Ta2TcOs

A relaxed Ta2TcOs crystal (GGA-PBE, OQMD via LeMat-Bulk).

Summary:
- Crystal system: tetragonal
- ΔE_f: -0.3942 eV/atom

Cell lengths 4.482, 4.482, 3.211 Å; angles 90.00, 90.00, 90.00 degrees
Atoms (fractional coordinates):
Ta1 0.000 0.500 0.000
Ta2 0.500 0.000 0.000
Tc1 0.000 0.000 0.500
Os1 0.500 0.500 0.500

| no. | density (g/cm³) |
| --- | --- |
| 1 | 5.230 |
| 2 | 5.011 |
| 3 | 8.568 |
| 4 | 5.170 |
| 5 | 3.777 |
| 6 | 8.319 |
| 7 | 8.997 |
| 8 | 13.590 |
| 9 | 10.507 |
| 10 | 12.199 |
| 11 | 6.535 |
| 12 | 9.606 |
| 13 | 5.293 |
| 14 | 8.319 |
| 15 | 7.939 |
| 16 | 5.457 |
| 17 | 10.816 |
| 18 | 7.697 |
| 19 | 3.614 |
| 20 | 16.736 |